{"formula": "LiCo4Ir", "functional": "PBE", "state": "relaxed", "crystal_system": "cubic", "dos_at_fermi_per_ev_fu": 4.76, "final_energy_ev_per_atom": -6.436, "delta_e_f_ev_per_fu": 0.6, "magmom_total_mub_per_cell": 7.8, "lattice": [[3.249, -1.894, 2.803], [-0.343, -4.499, 1.282], [3.016, -3.162, -1.707]], "species": ["Li", "Co", "Co", "Co", "Co", "Ir"], "frac_coords": [[0.000, 0.000, 0.000], [0.625, 0.625, 0.625], [0.625, 0.625, 0.124], [0.625, 0.124, 0.625], [0.124, 0.625, 0.625], [0.250, 0.250, 0.250]]}


{"formula": "SrTaO3", "functional": "PBE", "state": "relaxed", "crystal_system": "cubic", "dos_at_fermi_per_ev_fu": 1.20, "raw_formation_energy_ev_per_atom": -2.864, "final_energy_ev_per_atom": -8.546, "magmom_total_mub_per_cell": 0.0, "lattice": [[-1.657, -2.220, -2.977], [3.200, -2.507, 0.089], [-1.884, -2.307, 2.769]], "species": ["Sr", "O", "O", "O", "Ta"], "frac_coords": [[0.000, 0.000, 0.000], [0.000, 0.500, 0.500], [0.500, 0.000, 0.500], [0.500, 0.500, 0.000], [0.500, 0.500, 0.500]]}


{"formula": "HW3Cl", "functional": "PBE", "state": "relaxed", "crystal_system": "cubic", "dos_at_fermi_per_ev_fu": 6.32, "final_energy_ev_per_atom": -7.510, "magmom_total_mub_per_cell": 0.0, "polymorph_energy_mev_per_atom": 0.0, "lattice": [[4.094, 0.000, 0.000], [0.000, 4.094, 0.000], [0.000, 0.000, 4.094]], "species": ["H", "W", "W", "W", "Cl"], "frac_coords": [[0.000, 0.000, 0.000], [0.000, 0.500, 0.000], [0.000, 0.000, 0.500], [0.500, 0.000, 0.000], [0.500, 0.500, 0.500]]}